A plane-wave DFT calculation with PBE-GGA was carried out for a geometry-optimized Ho7Ni2S2 structure.

The space group is Imm2 (No. 44) and the conventional cell measures 3.7383, 14.8164 and 9.1417 Å, with angles of 90.00, 90.00 and 90.00 degrees. The asymmetric unit holds Ho at (0.0000, 0.0000, 0.0000), Ho at (0.0000, 0.1190, 0.4007), Ho at (0.0000, 0.3143, 0.6068), Ho at (0.0000, 0.3660, 0.2467), Ni at (0.0000, 0.2406, 0.9093), S at (0.0000, 0.0000, 0.6533) and S at (0.0000, 0.5000, 0.7454).

***

A plane-wave DFT calculation with PBE-GGA was carried out for a geometry-optimized HoTlNiS3 structure.

The space group is Pnma (No. 62) and the conventional cell measures 11.0433, 4.0278 and 11.6838 Å, with angles of 90.00, 90.00 and 90.00 degrees. The asymmetric unit holds Ho at (0.0124, 0.2500, 0.1718), Tl at (0.1717, 0.2500, 0.5102), Ni at (0.2463, 0.7500, 0.3035), S at (0.0459, 0.7500, 0.3256), S at (0.1061, 0.2500, 0.9432) and S at (0.2309, 0.7500, 0.7268).

***

A plane-wave DFT calculation with PBE-GGA was carried out for a geometry-optimized Ho5NiSb2 structure.

The space group is Pnma (No. 62) and the conventional cell measures 12.0544, 8.8071 and 7.8576 Å, with angles of 90.00, 90.00 and 90.00 degrees. The asymmetric unit holds Ho at (0.0005, 0.2500, 0.0448), Ho at (0.0658, 0.5425, 0.3200), Ho at (0.1970, 0.2500, 0.6255), Ho at (0.2071, 0.7500, 0.6588), Ni at (0.0132, 0.2500, 0.4216) and Sb at (0.1730, 0.0089, 0.9294).

***

A plane-wave DFT calculation with PBE-GGA was carried out for a geometry-optimized HoNiSb2 structure.

The space group is C2/m (No. 12) and the conventional cell measures 12.7217, 4.1098 and 7.2170 Å, with angles of 90.00, 101.86 and 90.00 degrees. The asymmetric unit holds Ho at (0.2499, 0.0000, 0.2487), Ni at (0.0000, 0.0000, 0.5000), Ni at (0.0000, 0.5000, 0.0000), Sb at (0.0951, 0.0000, 0.8640) and Sb at (0.0964, 0.5000, 0.3655).

***

A plane-wave DFT calculation with PBE-GGA was carried out for a geometry-optimized HoNiSb2 structure.

The space group is P4/nmm (No. 129, origin choice 2) and the conventional cell measures 4.3538, 4.3538 and 9.3301 Å, with angles of 90.00, 90.00 and 90.00 degrees. The asymmetric unit holds Ho at (0.2500, 0.2500, 0.2381), Ni at (0.2500, 0.7500, 0.0000), Sb at (0.2500, 0.2500, 0.8563) and Sb at (0.2500, 0.7500, 0.5000).

***

A plane-wave DFT calculation with PBE-GGA was carried out for a geometry-optimized HoScSi4Ni2 structure.

The space group is Amm2 (No. 38) and the conventional cell measures 3.8963, 3.8748 and 16.4297 Å, with angles of 90.00, 90.00 and 90.00 degrees. The asymmetric unit holds Ho at (0.0000, 0.0000, 0.0000), Sc at (0.5000, 0.0000, 0.2088), Si at (0.0000, 0.0000, 0.3532), Si at (0.0000, 0.0000, 0.6457), Si at (0.5000, 0.0000, 0.5667), Si at (0.5000, 0.0000, 0.8521), Ni at (0.0000, 0.0000, 0.7792) and Ni at (0.5000, 0.0000, 0.4292).

***

A plane-wave DFT calculation with PBE-GGA was carried out for a geometry-optimized HoSc2Si4Ni4 structure.

The space group is Immm (No. 71) and the conventional cell measures 3.8669, 6.5615 and 12.7602 Å, with angles of 90.00, 90.00 and 90.00 degrees. The asymmetric unit holds Ho at (0.0000, 0.0000, 0.0000), Sc at (0.0000, 0.5000, 0.1258), Si at (0.0000, 0.0000, 0.2233), Si at (0.0000, 0.1827, 0.5000) and Ni at (0.0000, 0.3032, 0.3229).

***

A plane-wave DFT calculation with PBE-GGA was carried out for a geometry-optimized HoScNi2Sn2 structure.

The space group is P3m1 (No. 156) and the conventional cell measures 4.4379, 4.4379 and 6.8524 Å, with angles of 90.00, 90.00 and 120.00 degrees. The asymmetric unit holds Ho at (0.0000, 0.0000, 0.0000), Sc at (0.0000, 0.0000, 0.5042), Ni at (0.3333, 0.6667, 0.3222), Ni at (0.6667, 0.3333, 0.7377), Sn at (0.3333, 0.6667, 0.7236) and Sn at (0.6667, 0.3333, 0.2721).

***

Number 1: total energy -5.53 eV per atom. Number 2: total energy -5.13 eV per atom. Number 3: total energy -5.32 eV per atom. Number 4: total energy -4.98 eV per atom. Number 5: total energy -5.28 eV per atom. Number 6: total energy -6.25 eV per atom. Number 7: total energy -6.42 eV per atom. Number 8: total energy -5.65 eV per atom.